# La4Dy5Ho4, optimized geometry, DFT PBE-GGA
# Spin magnetization in Bohr magnetons per cell: 0.0
# E_form in eV per atom: 0.030
# DFT total energy in eV per atom: -4.66
# Space-group type: I4/m
data_La4Dy5Ho4
_chemical_formula_sum 'La4 Dy5 Ho4'
_space_group_name_H-M_alt 'P 1'
_space_group_IT_number 1
_cell_length_a 5.1016
_cell_length_b 9.5279
_cell_length_c 9.5277
_cell_angle_alpha 85.89
_cell_angle_beta 74.47
_cell_angle_gamma 74.47
loop_
_space_group_symop_operation_xyz
'x,y,z'
loop_
_atom_site_label
_atom_site_fract_x
_atom_site_fract_y
_atom_site_fract_z
_atom_site_occupancy
La1 0.3820 0.6965 0.5395 1
La2 0.9215 0.4605 0.6965 1
La3 0.6180 0.3035 0.4605 1
La4 0.0785 0.5395 0.3035 1
Ho1 0.8473 0.9239 0.3815 1
Ho2 0.1527 0.0761 0.6185 1
Ho3 0.2288 0.6185 0.9239 1
Ho4 0.7712 0.3815 0.0761 1
Dy1 0.0000 0.0000 0.0000 1
Dy2 0.3122 0.1474 0.2283 1
Dy3 0.4596 0.2283 0.8526 1
Dy4 0.6878 0.8526 0.7717 1
Dy5 0.5404 0.7717 0.1474 1